1.
Density functional theory data (GGA-PBE) for a relaxed LiCoAg2 crystal.

a = 4.711 Å, b = 4.711 Å, c = 5.074 Å
α = 97.50°, β = 97.50°, γ = 33.57°
Fractional coordinates of all 4 atoms:
1 Li 0.000 0.000 0.000
2 Co 0.500 0.500 0.500
3 Ag 0.244 0.244 0.746
4 Ag 0.756 0.756 0.254

Values from the calculation:
space-group type = No. 12

***

2.
Density functional theory data (GGA-PBE) for a relaxed KCd2Ir crystal.

a = 8.277 Å, b = 8.277 Å, c = 4.579 Å
α = 106.05°, β = 106.05°, γ = 21.37°
Fractional coordinates of all 4 atoms:
1 K 0.000 0.000 0.000
2 Cd 0.665 0.665 0.665
3 Cd 0.818 0.818 0.319
4 Ir 0.311 0.311 0.812

Values from the calculation:
E above lowest polymorph = 0 meV/atom
space-group type = No. 8

***

| no. | final energy (eV per atom) | E_form (eV/atom) | total magnetic moment (μB per cell) |
| --- | --- | --- | --- |
| 1 | -3.459 | 0.22 | 1.5 |
| 2 | -2.776 | 0.17 | 0.0 |